# 1
BaLi2Pt: optimized geometry, PBE.

```
BaLi2Pt
1.0
-3.110 -2.004 -3.662
3.787 0.414 -3.548
0.825 -2.563 4.455
Ba Li Pt
1 2 1
direct
0.750 0.250 0.500 Ba
0.000 0.000 0.000 Li
0.250 0.750 0.500 Li
0.500 0.500 0.000 Pt
```

Summary:
formation enthalpy at 0 K: -208 meV/atom
Fermi-level density of states: 0.20 states/eV per atom
DFT total energy: -12.6 eV/cell
E above lowest polymorph: 235.6 meV/atom
space group: I-4m2, No. 119



# 2
CaAcPH: optimized geometry, PBE.

```
CaAcPH
1.0
-0.934 4.720 1.332
-3.993 2.369 -1.836
-3.875 1.035 2.974
H Ac P Ca
1 1 1 1
direct
0.500 0.500 0.500 H
0.250 0.250 0.250 Ac
0.000 0.000 0.000 P
0.750 0.750 0.750 Ca
```

Summary:
Fermi-level density of states: 0.70 states/eV per atom
DFT total energy: -17.4 eV/cell
space group: F-43m, No. 216



# 3
NaCeSn4: optimized geometry, PBE.

```
NaCeSn4
1.0
-3.504 4.365 2.754
-3.343 -1.426 5.070
1.655 2.273 5.569
Sn Ce Na
4 1 1
direct
0.625 0.625 0.125 Sn
0.125 0.625 0.625 Sn
0.625 0.625 0.625 Sn
0.625 0.125 0.625 Sn
0.250 0.250 0.250 Ce
0.000 0.000 0.000 Na
```

Summary:
formation enthalpy at 0 K: -245 meV/atom
Fermi-level density of states: 1.37 states/eV per atom
DFT total energy: -24.7 eV/cell
space group: F-43m, No. 216